9
Lattice="2.611 -7.831 0.000 2.611 7.831 0.000 -2.564 0.000 4.537" Properties=species:S:1:pos:R:3 comment="Ho2MgAg6 | Alexandria via LeMat-Bulk | PBE | optimized geometry" energy_ha_per_atom=-0.122 e_form_ev_per_atom=-0.2215 n_ef_per_ev_cell=4.98 spacegroup="C2/m (12)" pbc="T T T"
Ho 2.611 5.269 0.000
Ho 2.611 -5.269 0.000
Mg -1.282 0.000 2.268
Ag 0.028 2.596 3.017
Ag 1.357 0.000 0.821
Ag 0.028 -2.596 3.017
Ag 2.629 2.596 1.520
Ag 1.301 0.000 3.716
Ag 2.629 -2.596 1.520


10
Lattice="3.355 0.000 0.000 0.000 3.355 0.000 0.000 0.000 18.007" Properties=species:S:1:pos:R:3 comment="HoMg5Ag4 | Alexandria via LeMat-Bulk | PBE | optimized geometry" energy_ha_per_atom=-0.095 e_form_ev_per_atom=-0.1964 n_ef_per_ev_cell=5.65 spacegroup="P4/mmm (123)" pbc="T T T"
Ho 0.000 0.000 0.000
Mg 1.677 1.677 2.393
Mg 1.677 1.677 5.700
Mg 1.677 1.677 9.004
Mg 1.677 1.677 12.308
Mg 1.677 1.677 15.614
Ag 0.000 0.000 4.037
Ag 0.000 0.000 7.355
Ag 0.000 0.000 10.652
Ag 0.000 0.000 13.970